Density functional theory data (PBE) for a relaxed structure of HfTaCu2.

For the total energy, the calculation gives -28.120 eV per formula unit. The calculation puts the density of states at the Fermi level at 4.01 states/eV/f.u. The calculation puts the energy relative to the elements at 469.7 meV/atom. The total magnetization is 0.000 Bohr magnetons per cell. As for the mass density: 11860 kg/m³.

The space group is I-42d (No. 122) and the conventional cell measures 7.161, 7.161 and 5.314 Å, with angles of 90.00, 90.00 and 90.00 degrees. The inequivalent atoms are Hf at (0.000, 0.000, 0.000), Ta at (0.000, 0.000, 0.500) and Cu at (0.239, 0.250, 0.625).


Density functional theory data (PBE) for a relaxed structure of HfTaCu2.

For the total energy, the calculation gives -29.768 eV per formula unit. The calculation puts the density of states at the Fermi level at 4.46 states/eV/f.u. The calculation puts the energy relative to the elements at 57.5 meV/atom. The total magnetization is 0.001 Bohr magnetons per cell. As for the mass density: 12591 kg/m³.

The space group is P4/mmm (No. 123) and the conventional cell measures 3.224, 3.224 and 6.174 Å, with angles of 90.00, 90.00 and 90.00 degrees. The inequivalent atoms are Hf at (0.000, 0.000, 0.000), Ta at (0.000, 0.000, 0.500) and Cu at (0.500, 0.500, 0.264).


Density functional theory data (PBE) for a relaxed structure of HfTaCu2.

For the total energy, the calculation gives -29.743 eV per formula unit. The calculation puts the density of states at the Fermi level at 3.75 states/eV/f.u. The calculation puts the energy relative to the elements at 63.9 meV/atom. The total magnetization is 0.000 Bohr magnetons per cell. As for the mass density: 12615 kg/m³.

The space group is Fm-3m (No. 225) and the conventional cell measures 6.351, 6.351 and 6.351 Å, with angles of 90.00, 90.00 and 90.00 degrees. The inequivalent atoms are Hf at (0.000, 0.000, 0.000), Ta at (0.000, 0.000, 0.500) and Cu at (0.250, 0.250, 0.250).


Density functional theory data (PBE) for a relaxed structure of HfTaCu2.

For the total energy, the calculation gives -29.723 eV per formula unit. The calculation puts the density of states at the Fermi level at 5.05 states/eV/f.u. The calculation puts the energy relative to the elements at 68.8 meV/atom. The total magnetization is 0.000 Bohr magnetons per cell. As for the mass density: 12667 kg/m³.

The space group is P4/mmm (No. 123) and the conventional cell measures 4.106, 4.106 and 3.783 Å, with angles of 90.00, 90.00 and 90.00 degrees. The inequivalent atoms are Hf at (0.000, 0.000, 0.000), Ta at (0.500, 0.500, 0.000) and Cu at (0.000, 0.500, 0.500).


Density functional theory data (PBE) for a relaxed structure of Hf3TaCu.

For the total energy, the calculation gives -41.785 eV per formula unit. The calculation puts the density of states at the Fermi level at 12.12 states/eV/f.u. The calculation puts the energy relative to the elements at 804.8 meV/atom. The total magnetization is 0.000 Bohr magnetons per cell. As for the mass density: 11705 kg/m³.

The space group is Pm-3m (No. 221) and the conventional cell measures 4.801, 4.801 and 4.801 Å, with angles of 90.00, 90.00 and 90.00 degrees. The inequivalent atoms are Hf at (0.000, 0.000, 0.500), Ta at (0.500, 0.500, 0.500) and Cu at (0.000, 0.000, 0.000).


Density functional theory data (PBE) for a relaxed structure of Hf3TaCu.

For the total energy, the calculation gives -39.278 eV per formula unit. The calculation puts the density of states at the Fermi level at 5.76 states/eV/f.u. The calculation puts the energy relative to the elements at 1306.3 meV/atom. The total magnetization is 0.000 Bohr magnetons per cell. As for the mass density: 9918 kg/m³.

The space group is Pm-3m (No. 221) and the conventional cell measures 5.073, 5.073 and 5.073 Å, with angles of 90.00, 90.00 and 90.00 degrees. The inequivalent atoms are Hf at (0.000, 0.000, 0.500), Ta at (0.000, 0.000, 0.000) and Cu at (0.500, 0.500, 0.500).


Density functional theory data (PBE) for a relaxed structure of HfTaCuTc.

For the total energy, the calculation gives -37.044 eV per formula unit. The calculation puts the density of states at the Fermi level at 3.58 states/eV/f.u. The calculation puts the energy relative to the elements at -194.0 meV/atom. The total magnetization is 0.000 Bohr magnetons per cell. As for the mass density: 13054 kg/m³.

The space group is F-43m (No. 216) and the conventional cell measures 6.424, 6.424 and 6.424 Å, with angles of 90.00, 90.00 and 90.00 degrees. The inequivalent atoms are Hf at (0.000, 0.000, 0.000), Ta at (0.000, 0.000, 0.500), Cu at (0.250, 0.250, 0.250) and Tc at (0.250, 0.250, 0.750).


Density functional theory data (PBE) for a relaxed structure of HfTaVCu.

For the total energy, the calculation gives -34.610 eV per formula unit. The calculation puts the density of states at the Fermi level at 3.63 states/eV/f.u. The calculation puts the energy relative to the elements at 102.6 meV/atom. The total magnetization is 0.177 Bohr magnetons per cell. As for the mass density: 12087 kg/m³.

The space group is F-43m (No. 216) and the conventional cell measures 6.386, 6.386 and 6.386 Å, with angles of 90.00, 90.00 and 90.00 degrees. The inequivalent atoms are Hf at (0.000, 0.000, 0.000), Ta at (0.000, 0.000, 0.500), V at (0.250, 0.250, 0.750) and Cu at (0.250, 0.250, 0.250).


Copy entry 1 word for word.
Density functional theory data (PBE) for a relaxed structure of HfTaCu2.

For the total energy, the calculation gives -28.120 eV per formula unit. The calculation puts the density of states at the Fermi level at 4.01 states/eV/f.u. The calculation puts the energy relative to the elements at 469.7 meV/atom. The total magnetization is 0.000 Bohr magnetons per cell. As for the mass density: 11860 kg/m³.

The space group is I-42d (No. 122) and the conventional cell measures 7.161, 7.161 and 5.314 Å, with angles of 90.00, 90.00 and 90.00 degrees. The inequivalent atoms are Hf at (0.000, 0.000, 0.000), Ta at (0.000, 0.000, 0.500) and Cu at (0.239, 0.250, 0.625).


Repeat the eighth record exactly.
Density functional theory data (PBE) for a relaxed structure of HfTaVCu.

For the total energy, the calculation gives -34.610 eV per formula unit. The calculation puts the density of states at the Fermi level at 3.63 states/eV/f.u. The calculation puts the energy relative to the elements at 102.6 meV/atom. The total magnetization is 0.177 Bohr magnetons per cell. As for the mass density: 12087 kg/m³.

The space group is F-43m (No. 216) and the conventional cell measures 6.386, 6.386 and 6.386 Å, with angles of 90.00, 90.00 and 90.00 degrees. The inequivalent atoms are Hf at (0.000, 0.000, 0.000), Ta at (0.000, 0.000, 0.500), V at (0.250, 0.250, 0.750) and Cu at (0.250, 0.250, 0.250).